Record 1
{"formula": "PaCdCuHg", "functional": "PBE", "state": "optimized geometry", "lattice": [[-4.784, 0.844, -0.913], [-1.881, -1.008, -4.458], [-3.115, -3.795, -0.568]], "species": ["Cu", "Cd", "Hg", "Pa"], "frac_coords": [[0.750, 0.750, 0.750], [0.500, 0.500, 0.500], [0.250, 0.250, 0.250], [0.000, 0.000, 0.000]], "delta_e_f_ev_per_atom": 0.0860, "spacegroup": "No. 216", "total_magnetization_mub_per_fu": 0.001}

=====

Record 2
{"formula": "PmY6Sc3", "functional": "PBE", "state": "optimized geometry", "lattice": [[6.274, 0.000, 0.000], [0.000, 10.565, -1.852], [0.000, -4.163, 9.886]], "species": ["Sc", "Sc", "Pm", "Y", "Y", "Y", "Sc", "Y", "Sc", "Sc", "Sc", "Y", "Y", "Pm", "Y", "Y", "Y", "Y", "Y", "Y"], "frac_coords": [[0.422, 0.310, 0.078], [0.136, 0.385, 0.615], [0.207, 0.212, 0.788], [0.358, 0.566, 0.970], [0.528, 0.295, 0.364], [0.028, 0.705, 0.636], [0.422, 0.922, 0.690], [0.858, 0.970, 0.566], [0.636, 0.615, 0.385], [0.922, 0.690, 0.922], [0.922, 0.078, 0.310], [0.528, 0.636, 0.705], [0.348, 0.955, 0.045], [0.707, 0.788, 0.212], [0.358, 0.030, 0.434], [0.178, 0.687, 0.313], [0.858, 0.434, 0.030], [0.848, 0.045, 0.955], [0.678, 0.313, 0.687], [0.028, 0.364, 0.295]], "delta_e_f_ev_per_atom": 0.1597, "spacegroup": "No. 36", "total_magnetization_mub_per_fu": 0.000, "e_above_lowest_polymorph_kj_per_mol_atoms": 0.00}

=====

Record 3
{"formula": "Sb3TePd12", "functional": "PBE", "state": "optimized geometry", "lattice": [[4.054, 0.000, 0.000], [0.000, 4.054, 0.000], [0.000, 0.000, 16.409]], "species": ["Pd", "Pd", "Pd", "Te", "Pd", "Pd", "Pd", "Sb", "Sb", "Pd", "Pd", "Pd", "Pd", "Pd", "Pd", "Sb"], "frac_coords": [[0.500, 0.500, 0.256], [0.500, 0.000, 0.132], [0.000, 0.500, 0.868], [0.000, 0.000, 0.000], [0.500, 0.000, 0.868], [0.500, 0.000, 0.377], [0.000, 0.500, 0.132], [0.000, 0.000, 0.248], [0.000, 0.000, 0.500], [0.500, 0.500, 0.000], [0.500, 0.500, 0.500], [0.000, 0.500, 0.623], [0.500, 0.000, 0.623], [0.500, 0.500, 0.744], [0.000, 0.500, 0.377], [0.000, 0.000, 0.752]], "e_form_raw_ev_per_fu": -5.0, "spacegroup": "No. 123", "total_magnetization_mub_per_fu": 0.000}

=====

Record 4
{"formula": "DyTmThPa", "functional": "PBE", "state": "optimized geometry", "lattice": [[5.531, 0.000, 0.000], [2.765, 4.790, 0.000], [2.765, 1.597, 4.516]], "species": ["Pa", "Tm", "Th", "Dy"], "frac_coords": [[0.750, 0.750, 0.750], [0.250, 0.250, 0.250], [0.500, 0.500, 0.500], [0.000, 0.000, 0.000]], "delta_e_f_ev_per_atom": 0.3478, "spacegroup": "No. 216", "total_magnetization_mub_per_fu": 1.730}

=====

Record 5
{"formula": "V2CuBr", "functional": "PBE", "state": "optimized geometry", "lattice": [[6.739, 0.000, 0.000], [0.000, 6.739, 0.000], [3.369, 3.369, 2.734]], "species": ["Cu", "V", "V", "Cu", "V", "Br", "V", "Br"], "frac_coords": [[0.500, 0.500, 0.000], [0.375, 0.364, 0.750], [0.114, 0.625, 0.250], [0.250, 0.750, 0.500], [0.875, 0.886, 0.750], [0.750, 0.250, 0.500], [0.636, 0.125, 0.250], [0.000, 0.000, 0.000]], "e_form_raw_ev_per_fu": 3.0, "spacegroup": "No. 122", "total_magnetization_mub_per_fu": 0.000, "e_above_lowest_polymorph_kj_per_mol_atoms": 10.02}